{"formula": "BaMn2Ga", "functional": "GGA-PBE", "state": "relaxed", "space_group": "No. 141", "delta_e_f_ev_per_atom": 0.629, "dft_energy_ev_per_atom": -5.1929, "lattice": [[-2.8801, 2.8801, 9.2081], [2.8801, -2.8801, 9.2081], [2.8801, 2.8801, -9.2081]], "species": ["Ba", "Ba", "Mn", "Mn", "Mn", "Mn", "Ga", "Ga"], "frac_coords": [[0.3750, 0.6250, 0.7500], [0.6250, 0.3750, 0.2500], [0.0000, 0.0000, 0.0000], [0.0000, 0.0000, 0.5000], [0.0000, 0.5000, 0.0000], [0.5000, 0.0000, 0.5000], [0.1250, 0.8750, 0.2500], [0.8750, 0.1250, 0.7500]]}



{"formula": "BaMnGa2", "functional": "GGA-PBE", "state": "relaxed", "space_group": "No. 225", "delta_e_f_ev_per_atom": 0.680, "dft_energy_ev_per_atom": -3.6066, "lattice": [[0.0000, 3.8001, 3.8001], [3.8001, 0.0000, 3.8001], [3.8001, 3.8001, 0.0000]], "species": ["Ba", "Mn", "Ga", "Ga"], "frac_coords": [[0.0000, 0.0000, 0.0000], [0.5000, 0.5000, 0.5000], [0.2500, 0.2500, 0.2500], [0.7500, 0.7500, 0.7500]]}



{"formula": "Ba2MnNbGa", "functional": "GGA-PBE", "state": "relaxed", "space_group": "No. 123", "delta_e_f_ev_per_atom": 0.755, "dft_energy_ev_per_atom": -4.4670, "lattice": [[6.1948, 0.0000, 0.0000], [0.0000, 6.1948, 0.0000], [0.0000, 0.0000, 4.3881]], "species": ["Ba", "Ba", "Mn", "Nb", "Ga"], "frac_coords": [[0.0000, 0.5000, 0.0000], [0.5000, 0.0000, 0.0000], [0.0000, 0.0000, 0.0000], [0.0000, 0.0000, 0.5000], [0.5000, 0.5000, 0.5000]]}